Record 1
# CaTb6Tm, optimized geometry, DFT PBE-GGA
data_CaTb6Tm
_space_group_name_H-M_alt 'P 1'
_space_group_IT_number 1
_cell_length_a 6.765
_cell_length_b 6.612
_cell_length_c 7.168
_cell_angle_alpha 73.77
_cell_angle_beta 59.99
_cell_angle_gamma 87.86
loop_
_space_group_symop_operation_xyz
'x,y,z'
loop_
_atom_site_label
_atom_site_type_symbol
_atom_site_fract_x
_atom_site_fract_y
_atom_site_fract_z
Tb1 Tb 0.906 0.241 0.517
Tb2 Tb 0.566 0.719 0.532
Tb3 Tb 0.094 0.759 0.483
Tb4 Tb 0.434 0.281 0.468
Tb5 Tb 0.547 0.745 0.996
Ca1 Ca 0.000 0.000 0.000
Tm1 Tm 0.000 0.500 0.000
Tb6 Tb 0.453 0.255 0.004
# - final energy (eV per cell) = -32.47
# - theoretical density (Mg/m³) = 7.30
# - DOS at the Fermi energy (states/eV/atom) = 1.554

---

Record 2
# CaTbY4Tm2, optimized geometry, DFT PBE-GGA
data_CaTbY4Tm2
_space_group_name_H-M_alt 'P 1'
_space_group_IT_number 1
_cell_length_a 9.595
_cell_length_b 9.595
_cell_length_c 11.940
_cell_angle_alpha 128.54
_cell_angle_beta 128.54
_cell_angle_gamma 88.31
loop_
_space_group_symop_operation_xyz
'x,y,z'
loop_
_atom_site_label
_atom_site_type_symbol
_atom_site_fract_x
_atom_site_fract_y
_atom_site_fract_z
Y1 Y 0.755 0.244 0.499
Tm1 Tm 0.000 0.000 0.500
Tm2 Tm 0.500 0.500 0.000
Ca1 Ca 0.000 0.000 0.000
Y2 Y 0.751 0.757 0.487
Tb1 Tb 0.000 0.500 0.000
Tb2 Tb 0.000 0.500 0.500
Tm3 Tm 0.500 0.000 0.500
Ca2 Ca 0.500 0.500 0.500
Y3 Y 0.256 0.745 0.001
Y4 Y 0.249 0.243 0.513
Y5 Y 0.744 0.255 0.999
Y6 Y 0.257 0.251 0.987
Y7 Y 0.245 0.756 0.501
Y8 Y 0.743 0.749 0.013
Tm4 Tm 0.500 0.000 0.000
# - final energy (eV per cell) = -75.75
# - theoretical density (Mg/m³) = 5.44
# - DOS at the Fermi energy (states/eV/atom) = 2.147

---

Record 3
# CaTb2Y4Tm, optimized geometry, DFT PBE-GGA
data_CaTb2Y4Tm
_space_group_name_H-M_alt 'P 1'
_space_group_IT_number 1
_cell_length_a 9.606
_cell_length_b 9.606
_cell_length_c 11.952
_cell_angle_alpha 128.51
_cell_angle_beta 128.51
_cell_angle_gamma 88.39
loop_
_space_group_symop_operation_xyz
'x,y,z'
loop_
_atom_site_label
_atom_site_type_symbol
_atom_site_fract_x
_atom_site_fract_y
_atom_site_fract_z
Y1 Y 0.754 0.247 0.501
Y2 Y 0.750 0.745 0.013
Tm1 Tm 0.000 0.500 0.500
Y3 Y 0.246 0.753 0.499
Y4 Y 0.253 0.746 0.999
Tb1 Tb 0.500 0.000 0.500
Ca1 Ca 0.000 0.000 0.000
Tb2 Tb 0.500 0.500 0.000
Ca2 Ca 0.500 0.500 0.500
Tb3 Tb 0.500 0.000 0.000
Y5 Y 0.245 0.250 0.513
Y6 Y 0.755 0.750 0.487
Y7 Y 0.250 0.255 0.987
Tb4 Tb 0.000 0.000 0.500
Y8 Y 0.747 0.254 0.001
Tm2 Tm 0.000 0.500 0.000
# - final energy (eV per cell) = -76.12
# - theoretical density (Mg/m³) = 5.36
# - DOS at the Fermi energy (states/eV/atom) = 2.114

---

Record 4
# CaTbYTm, optimized geometry, DFT PBE-GGA
data_CaTbYTm
_space_group_name_H-M_alt 'P 1'
_space_group_IT_number 1
_cell_length_a 5.734
_cell_length_b 5.734
_cell_length_c 5.734
_cell_angle_alpha 60.00
_cell_angle_beta 60.00
_cell_angle_gamma 60.00
loop_
_space_group_symop_operation_xyz
'x,y,z'
loop_
_atom_site_label
_atom_site_type_symbol
_atom_site_fract_x
_atom_site_fract_y
_atom_site_fract_z
Tm1 Tm 0.750 0.750 0.750
Y1 Y 0.500 0.500 0.500
Tb1 Tb 0.000 0.000 0.000
Ca1 Ca 0.250 0.250 0.250
# - final energy (eV per cell) = -16.93
# - theoretical density (Mg/m³) = 5.69
# - DOS at the Fermi energy (states/eV/atom) = 1.865

---

Record 5
# CaTbY2, optimized geometry, DFT PBE-GGA
data_CaTbY2
_space_group_name_H-M_alt 'P 1'
_space_group_IT_number 1
_cell_length_a 5.127
_cell_length_b 5.129
_cell_length_c 5.129
_cell_angle_alpha 90.00
_cell_angle_beta 90.00
_cell_angle_gamma 90.00
loop_
_space_group_symop_operation_xyz
'x,y,z'
loop_
_atom_site_label
_atom_site_type_symbol
_atom_site_fract_x
_atom_site_fract_y
_atom_site_fract_z
Ca1 Ca 0.500 0.000 0.000
Tb1 Tb 0.500 0.500 0.500
Y1 Y 0.000 0.000 0.500
Y2 Y 0.000 0.500 0.000
# - final energy (eV per cell) = -19.04
# - theoretical density (Mg/m³) = 4.64
# - distance to the lowest polymorph of the same formula (meV per atom) = 73
# - DOS at the Fermi energy (states/eV/atom) = 1.860

---

Record 6
# CaTb7Y4, optimized geometry, DFT PBE-GGA
data_CaTb7Y4
_space_group_name_H-M_alt 'P 1'
_space_group_IT_number 1
_cell_length_a 7.240
_cell_length_b 9.563
_cell_length_c 8.908
_cell_angle_alpha 81.17
_cell_angle_beta 90.06
_cell_angle_gamma 40.90
loop_
_space_group_symop_operation_xyz
'x,y,z'
loop_
_atom_site_label
_atom_site_type_symbol
_atom_site_fract_x
_atom_site_fract_y
_atom_site_fract_z
Tb1 Tb 0.225 0.776 0.660
Tb2 Tb 0.243 0.501 0.001
Ca1 Ca 0.000 0.000 0.000
Tb3 Tb 0.029 0.719 0.338
Y1 Y 0.721 0.779 0.669
Y2 Y 0.464 0.283 0.662
Tb4 Tb 0.500 0.000 0.000
Y3 Y 0.536 0.717 0.338
Y4 Y 0.279 0.221 0.331
Tb5 Tb 0.971 0.281 0.662
Tb6 Tb 0.757 0.499 0.999
Tb7 Tb 0.775 0.224 0.340
# - final energy (eV per cell) = -59.92
# - theoretical density (Mg/m³) = 6.38
# - DOS at the Fermi energy (states/eV/atom) = 1.458

---

Record 7
# CaTb6Y5, optimized geometry, DFT PBE-GGA
data_CaTb6Y5
_space_group_name_H-M_alt 'P 1'
_space_group_IT_number 1
_cell_length_a 6.218
_cell_length_b 6.218
_cell_length_c 11.860
_cell_angle_alpha 95.00
_cell_angle_beta 95.00
_cell_angle_gamma 119.98
loop_
_space_group_symop_operation_xyz
'x,y,z'
loop_
_atom_site_label
_atom_site_type_symbol
_atom_site_fract_x
_atom_site_fract_y
_atom_site_fract_z
Ca1 Ca 0.000 0.000 0.000
Y1 Y 0.834 0.166 0.500
Tb1 Tb 0.255 0.255 0.747
Tb2 Tb 0.915 0.576 0.747
Tb3 Tb 0.085 0.424 0.253
Y2 Y 0.166 0.834 0.500
Tb4 Tb 0.576 0.915 0.747
Y3 Y 0.333 0.667 0.000
Y4 Y 0.667 0.333 0.000
Y5 Y 0.500 0.500 0.500
Tb5 Tb 0.424 0.085 0.253
Tb6 Tb 0.745 0.745 0.253
# - final energy (eV per cell) = -61.52
# - theoretical density (Mg/m³) = 6.11
# - DOS at the Fermi energy (states/eV/atom) = 1.483

---

Record 8
# CaTbY2, optimized geometry, DFT PBE-GGA
data_CaTbY2
_space_group_name_H-M_alt 'P 1'
_space_group_IT_number 1
_cell_length_a 3.614
_cell_length_b 3.614
_cell_length_c 12.276
_cell_angle_alpha 81.53
_cell_angle_beta 81.53
_cell_angle_gamma 60.00
loop_
_space_group_symop_operation_xyz
'x,y,z'
loop_
_atom_site_label
_atom_site_type_symbol
_atom_site_fract_x
_atom_site_fract_y
_atom_site_fract_z
Y1 Y 0.255 0.255 0.236
Tb1 Tb 0.000 0.000 0.000
Ca1 Ca 0.500 0.500 0.500
Y2 Y 0.745 0.745 0.764
# - final energy (eV per cell) = -19.31
# - theoretical density (Mg/m³) = 4.57
# - distance to the lowest polymorph of the same formula (meV per atom) = 5
# - DOS at the Fermi energy (states/eV/atom) = 1.654

---

Among the records above, which one has the highest DOS at the Fermi energy? CaTbY4Tm2